A relaxed structure of Mg4Ag3Au2. Source: Alexandria, functional GGA-PBE.

a = 8.4606 Å, b = 4.4479 Å, c = 8.7778 Å
α = 90.00°, β = 96.44°, γ = 90.00°
Space group C2/m (No. 12)
Unique sites:
Mg: 0.0108 0.0000 0.3274 [4 per cell]
Mg: 0.1625 0.5000 0.8878 [4 per cell]
Ag: 0.0000 0.0000 0.0000 [2 per cell]
Ag: 0.1628 0.5000 0.5512 [4 per cell]
Au: 0.1766 0.5000 0.2138 [4 per cell]

Energy of formation (meV per atom): -367
VASP energy (eV per cell): -49.58


A relaxed structure of Ba3CuPd2O8. Source: Alexandria, functional GGA-PBE.

a = 5.7562 Å, b = 5.7562 Å, c = 7.8011 Å
α = 90.00°, β = 90.00°, γ = 120.00°
Space group P-3m1 (No. 164)
Unique sites:
Ba: 0.0000 0.0000 0.0000 [1 per cell]
Ba: 0.3333 0.6667 0.6335 [2 per cell]
Cu: 0.0000 0.0000 0.5000 [1 per cell]
Pd: 0.3333 0.6667 0.2024 [2 per cell]
O: 0.1598 0.3197 0.3353 [6 per cell]
O: 0.3333 0.6667 0.9605 [2 per cell]

VASP energy (eV per cell): -76.94
Energy relative to the elements, uncorrected (eV per atom): -1.2164


A relaxed structure of Er6Ge2BiSe3. Source: Alexandria, functional GGA-PBE.

a = 18.0568 Å, b = 4.1535 Å, c = 8.3275 Å
α = 90.00°, β = 102.61°, γ = 90.00°
Space group C2/m (No. 12)
Unique sites:
Er: 0.0067 0.0000 0.2657 [4 per cell]
Er: 0.1713 0.5000 0.5763 [4 per cell]
Er: 0.1726 0.5000 0.1034 [4 per cell]
Ge: 0.1674 0.0000 0.3360 [4 per cell]
Bi: 0.0000 0.5000 0.0000 [2 per cell]
Se: 0.0000 0.5000 0.5000 [2 per cell]
Se: 0.1641 0.0000 0.8343 [4 per cell]

VASP energy (eV per cell): -133.72
Energy relative to the elements, uncorrected (eV per atom): -1.3260


A relaxed structure of Pu3CoBi. Source: Alexandria, functional GGA-PBE.

a = 5.1030 Å, b = 5.1030 Å, c = 5.1030 Å
α = 90.00°, β = 90.00°, γ = 90.00°
Space group Pm-3m (No. 221)
Unique sites:
Pu: 0.0000 0.0000 0.5000 [3 per cell]
Co: 0.0000 0.0000 0.0000 [1 per cell]
Bi: 0.5000 0.5000 0.5000 [1 per cell]

Energy of formation (meV per atom): -98
VASP energy (eV per cell): -54.47


A relaxed structure of RbTaSiO5. Source: Alexandria, functional GGA-PBE.

a = 7.1224 Å, b = 9.2693 Å, c = 7.5783 Å
α = 90.00°, β = 116.75°, γ = 90.00°
Space group C2/c (No. 15)
Unique sites:
Rb: 0.0000 0.1687 0.2500 [4 per cell]
Ta: 0.0000 0.5000 0.0000 [4 per cell]
Si: 0.0000 0.1901 0.7500 [4 per cell]
O: 0.0000 0.4482 0.2500 [4 per cell]
O: 0.0726 0.2971 0.6149 [8 per cell]
O: 0.2006 0.0822 0.8846 [8 per cell]

VASP energy (eV per cell): -256.03
Energy relative to the elements, uncorrected (eV per atom): -2.6215


A relaxed structure of Cu3SbSe4. Source: Alexandria, functional GGA-PBE.

a = 8.0583 Å, b = 6.9559 Å, c = 6.6627 Å
α = 90.00°, β = 90.00°, γ = 90.00°
Space group Pmn2_1 (No. 31)
Unique sites:
Cu: 0.0000 0.1660 0.9997 [2 per cell]
Cu: 0.2494 0.6686 0.0000 [4 per cell]
Sb: 0.0000 0.8326 0.5013 [2 per cell]
Se: 0.0000 0.1885 0.6362 [2 per cell]
Se: 0.0000 0.8328 0.1012 [2 per cell]
Se: 0.2321 0.3457 0.1366 [4 per cell]

VASP energy (eV per cell): -63.50
Energy relative to the elements, uncorrected (eV per atom): -0.1754
Energy above the most stable polymorph in this dataset (eV/f.u.): 0.101


A relaxed structure of KCa2SiBi. Source: Alexandria, functional GGA-PBE.

a = 5.9916 Å, b = 5.9916 Å, c = 6.4710 Å
α = 90.00°, β = 90.00°, γ = 90.00°
Space group P4/mmm (No. 123)
Unique sites:
K: 0.0000 0.0000 0.0000 [1 per cell]
Ca: 0.0000 0.5000 0.5000 [2 per cell]
Si: 0.5000 0.5000 0.0000 [1 per cell]
Bi: 0.0000 0.0000 0.5000 [1 per cell]

VASP energy (eV per cell): -13.22
Energy relative to the elements, uncorrected (eV per atom): 0.2363


A relaxed structure of Co2RuI. Source: Alexandria, functional GGA-PBE.

a = 6.2093 Å, b = 6.2093 Å, c = 6.2093 Å
α = 90.00°, β = 90.00°, γ = 90.00°
Space group Fm-3m (No. 225)
Unique sites:
Co: 0.2500 0.2500 0.2500 [8 per cell]
Ru: 0.0000 0.0000 0.0000 [4 per cell]
I: 0.0000 0.0000 0.5000 [4 per cell]

VASP energy (eV per cell): -84.50
Energy relative to the elements, uncorrected (eV per atom): 0.9782
Energy above the most stable polymorph in this dataset (eV/f.u.): 0.000


A relaxed structure of MnCd2. Source: Alexandria, functional GGA-PBE.

a = 7.9309 Å, b = 7.9309 Å, c = 7.9309 Å
α = 90.00°, β = 90.00°, γ = 90.00°
Space group Fd-3m (No. 227, origin choice 2)
Unique sites:
Mn: 0.1250 0.1250 0.1250 [8 per cell]
Cd: 0.0000 0.0000 0.5000 [16 per cell]

Energy of formation (meV per atom): 437
VASP energy (eV per cell): -77.50


A relaxed structure of Sm2Dy5Tm. Source: Alexandria, functional GGA-PBE.

a = 6.6456 Å, b = 8.8084 Å, c = 9.5428 Å
α = 88.49°, β = 85.67°, γ = 67.90°
Space group P-1 (No. 2)
Unique sites:
Sm: 0.1297 0.1103 0.0717 [2 per cell]
Sm: 0.2406 0.8903 0.5717 [2 per cell]
Dy: 0.1603 0.6770 0.2505 [2 per cell]
Dy: 0.1886 0.2546 0.3870 [2 per cell]
Dy: 0.2004 0.4847 0.9088 [2 per cell]
Dy: 0.3163 0.4844 0.5922 [2 per cell]
Dy: 0.4444 0.7459 0.8862 [2 per cell]
Tm: 0.4404 0.1215 0.7505 [2 per cell]

Energy of formation (meV per atom): 152
VASP energy (eV per cell): -71.42
Energy above the most stable polymorph in this dataset (eV/f.u.): 1.074


A relaxed structure of Ba2Tl3Pb2. Source: Alexandria, functional GGA-PBE.

a = 12.6154 Å, b = 5.1454 Å, c = 8.0665 Å
α = 90.00°, β = 106.49°, γ = 90.00°
Space group C2/m (No. 12)
Unique sites:
Ba: 0.1355 0.0000 0.2650 [4 per cell]
Tl: 0.0000 0.5000 0.5000 [2 per cell]
Tl: 0.1094 0.5000 0.9347 [4 per cell]
Pb: 0.1603 0.0000 0.7383 [4 per cell]

Energy of formation (meV per atom): -351
VASP energy (eV per cell): -41.63


A relaxed structure of MgBiBr. Source: Alexandria, functional GGA-PBE.

a = 4.0669 Å, b = 6.9504 Å, c = 7.9955 Å
α = 75.77°, β = 89.66°, γ = 73.86°
Space group P-1 (No. 2)
Unique sites:
Mg: 0.2341 0.0440 0.2909 [2 per cell]
Bi: 0.1659 0.1772 0.9207 [2 per cell]
Br: 0.3630 0.7570 0.5911 [2 per cell]

VASP energy (eV per cell): -18.27
Energy relative to the elements, uncorrected (eV per atom): -0.6620


A relaxed structure of NaZnCrAg2. Source: Alexandria, functional GGA-PBE.

a = 5.1600 Å, b = 5.1600 Å, c = 4.9453 Å
α = 90.00°, β = 90.00°, γ = 90.00°
Space group P4/mmm (No. 123)
Unique sites:
Na: 0.0000 0.0000 0.0000 [1 per cell]
Zn: 0.5000 0.5000 0.0000 [1 per cell]
Cr: 0.5000 0.5000 0.5000 [1 per cell]
Ag: 0.0000 0.5000 0.5000 [2 per cell]

Energy of formation (meV per atom): 612
VASP energy (eV per cell): -14.86


A relaxed structure of Pm5Zn4Pb. Source: Alexandria, functional GGA-PBE.

a = 3.6677 Å, b = 3.6677 Å, c = 19.0315 Å
α = 90.00°, β = 90.00°, γ = 90.00°
Space group P4/mmm (No. 123)
Unique sites:
Pm: 0.0000 0.0000 0.0000 [1 per cell]
Pm: 0.0000 0.0000 0.1920 [2 per cell]
Pm: 0.0000 0.0000 0.3830 [2 per cell]
Zn: 0.5000 0.5000 0.0978 [2 per cell]
Zn: 0.5000 0.5000 0.2846 [2 per cell]
Pb: 0.5000 0.5000 0.5000 [1 per cell]

Energy of formation (meV per atom): -357
VASP energy (eV per cell): -36.13


A relaxed structure of Pm7Nd4Y. Source: Alexandria, functional GGA-PBE.

a = 6.3758 Å, b = 7.3582 Å, c = 9.1348 Å
α = 89.94°, β = 76.41°, γ = 89.95°
Space group P-1 (No. 2)
Unique sites:
Pm: 0.0000 0.0000 0.0000 [1 per cell]
Pm: 0.2202 0.5001 0.3321 [2 per cell]
Pm: 0.2792 0.2510 0.6695 [2 per cell]
Pm: 0.4997 0.2507 0.9998 [2 per cell]
Nd: 0.2214 0.0001 0.3314 [2 per cell]
Nd: 0.2800 0.7491 0.6689 [2 per cell]
Y: 0.0000 0.5000 0.0000 [1 per cell]

Energy of formation (meV per atom): 14
VASP energy (eV per cell): -58.62
Energy above the most stable polymorph in this dataset (eV/f.u.): 0.000


A relaxed structure of CeNd4Sb5. Source: Alexandria, functional GGA-PBE.

a = 4.5200 Å, b = 6.3868 Å, c = 22.6052 Å
α = 90.00°, β = 90.00°, γ = 90.00°
Space group Immm (No. 71)
Unique sites:
Ce: 0.0000 0.0000 0.0000 [2 per cell]
Nd: 0.0000 0.0000 0.2004 [4 per cell]
Nd: 0.0000 0.0000 0.3994 [4 per cell]
Sb: 0.0000 0.5000 0.0000 [2 per cell]
Sb: 0.0000 0.5000 0.2003 [4 per cell]
Sb: 0.0000 0.5000 0.4015 [4 per cell]

VASP energy (eV per cell): -114.53
Energy relative to the elements, uncorrected (eV per atom): -1.1648
Energy above the most stable polymorph in this dataset (eV/f.u.): 0.000


A relaxed structure of Pm4Ni13C4. Source: Alexandria, functional GGA-PBE.

a = 11.8558 Å, b = 12.0732 Å, c = 3.9200 Å
α = 90.00°, β = 90.00°, γ = 90.00°
Space group Cmmm (No. 65)
Unique sites:
Pm: 0.0000 0.1901 0.0000 [4 per cell]
Pm: 0.1532 0.5000 0.0000 [4 per cell]
Ni: 0.0000 0.0000 0.5000 [2 per cell]
Ni: 0.1086 0.3244 0.5000 [8 per cell]
Ni: 0.1213 0.0000 0.0000 [4 per cell]
Ni: 0.1812 0.1092 0.5000 [8 per cell]
Ni: 0.2500 0.2500 0.0000 [4 per cell]
C: 0.0000 0.4435 0.5000 [4 per cell]
C: 0.2500 0.2500 0.5000 [4 per cell]

Energy of formation (meV per atom): -293
VASP energy (eV per cell): -274.40


A relaxed structure of Ta2ReRu. Source: Alexandria, functional GGA-PBE.

a = 3.1863 Å, b = 4.6795 Å, c = 8.7201 Å
α = 90.00°, β = 90.00°, γ = 90.00°
Space group Immm (No. 71)
Unique sites:
Ta: 0.0000 0.0000 0.2489 [4 per cell]
Re: 0.0000 0.5000 0.5000 [2 per cell]
Ru: 0.0000 0.5000 0.0000 [2 per cell]

Energy of formation (meV per atom): -127
VASP energy (eV per cell): -91.88


A relaxed structure of Be3In. Source: Alexandria, functional GGA-PBE.

a = 4.8058 Å, b = 6.8611 Å, c = 3.1872 Å
α = 90.00°, β = 90.00°, γ = 90.00°
Space group Cmmm (No. 65)
Unique sites:
Be: 0.0000 0.0000 0.0000 [2 per cell]
Be: 0.2500 0.2500 0.5000 [4 per cell]
In: 0.0000 0.5000 0.0000 [2 per cell]

Energy of formation (meV per atom): 593
VASP energy (eV per cell): -23.09
Energy above the most stable polymorph in this dataset (eV/f.u.): 1.445


A relaxed structure of Ta2SbAu. Source: Alexandria, functional GGA-PBE.

a = 3.7059 Å, b = 4.7713 Å, c = 9.1023 Å
α = 90.00°, β = 90.00°, γ = 90.00°
Space group Cmm2 (No. 35)
Unique sites:
Ta: 0.0000 0.0000 0.0000 [2 per cell]
Ta: 0.0000 0.5000 0.2346 [2 per cell]
Sb: 0.0000 0.0000 0.4772 [2 per cell]
Au: 0.0000 0.5000 0.7723 [2 per cell]

VASP energy (eV per cell): -61.78
Energy relative to the elements, uncorrected (eV per atom): 0.0533